## KAlRh2Se (GGA-PBE)

Data for KAlRh2Se after structural relaxation.

Cell: 4.8251 4.8251 5.3201 Å, 90.00 90.00 90.00°
Last column: nearest neighbours and their distance in Å.
Space group P4/mmm (No. 123)
Symmetry-distinct sites (fractional):
K1 0.0000 0.0000 0.0000 (multiplicity 1)  4 Rh 2.41, 2 Al 2.66
Al1 0.0000 0.0000 0.5000 (multiplicity 1)  2 K 2.66
Rh1 0.0000 0.5000 0.0000 (multiplicity 2)  2 K 2.41
Se1 0.5000 0.5000 0.5000 (multiplicity 1)  4 Al 3.41, 8 Rh 3.59

Results
ρ: 4.70 Mg/m³
crystal system: tetragonal
ΔE_f (raw): 1.882 eV/atom

---

## KAlSiRh2 (GGA-PBE)

Data for KAlSiRh2 after structural relaxation.

Cell: 4.5892 4.5892 4.8334 Å, 90.00 90.00 90.00°
Last column: nearest neighbours and their distance in Å.
Space group P4/mmm (No. 123)
Symmetry-distinct sites (fractional):
K1 0.0000 0.0000 0.0000 (multiplicity 1)  4 Al 3.25, 8 Rh 3.33
Al1 0.5000 0.5000 0.0000 (multiplicity 1)  2 Si 2.42
Si1 0.5000 0.5000 0.5000 (multiplicity 1)  4 Rh 2.29, 2 Al 2.42
Rh1 0.0000 0.5000 0.5000 (multiplicity 2)  2 Si 2.29

Results
ρ: 4.89 Mg/m³
crystal system: tetragonal
ΔE_f (raw): 0.208 eV/atom

---

## KSr2AlRh (GGA-PBE)

Data for KSr2AlRh after structural relaxation.

Cell: 5.9579 5.9579 4.9648 Å, 90.00 90.00 90.00°
Last column: nearest neighbours and their distance in Å.
Space group P4/mmm (No. 123)
Symmetry-distinct sites (fractional):
K1 0.0000 0.0000 0.0000 (multiplicity 1)  8 Sr 3.88, 4 Al 4.21
Sr1 0.0000 0.5000 0.5000 (multiplicity 2)  2 Rh 2.98
Al1 0.5000 0.5000 0.0000 (multiplicity 1)  2 Rh 2.48
Rh1 0.5000 0.5000 0.5000 (multiplicity 1)  2 Al 2.48

Results
E_form: -0.157 eV/atom
ρ: 3.24 Mg/m³
crystal system: tetragonal

---

## KAl2Ru (GGA-PBE)

Data for KAl2Ru after structural relaxation.

Cell: 2.8682 5.9821 10.9403 Å, 90.00 90.00 90.00°
Last column: nearest neighbours and their distance in Å.
Space group Immm (No. 71)
Symmetry-distinct sites (fractional):
K1 0.0000 0.0000 0.0000 (multiplicity 2)  2 K 2.87
Al1 0.0000 0.5000 0.1820 (multiplicity 4)  2 Ru 2.45
Ru1 0.0000 0.0000 0.5000 (multiplicity 2)  4 Al 2.45

Results
E_form: 0.339 eV/atom
ρ: 3.43 Mg/m³
excess energy over the best structure of this formula in the dataset: 0.4430 eV/atom
crystal system: orthorhombic

---

## KAl2Ru (GGA-PBE)

Data for KAl2Ru after structural relaxation.

Cell: 6.1321 6.1321 14.0650 Å, 90.00 90.00 90.00°
Last column: nearest neighbours and their distance in Å.
Space group I4_1/amd (No. 141, origin choice 2)
Symmetry-distinct sites (fractional):
K1 0.0000 0.2500 0.3750 (multiplicity 4)  8 Al 3.85
Al1 0.0000 0.0000 0.0000 (multiplicity 8)  2 Ru 2.33
Ru1 0.0000 0.2500 0.8750 (multiplicity 4)  4 Al 2.33

Results
E_form: 0.299 eV/atom
ρ: 2.44 Mg/m³
excess energy over the best structure of this formula in the dataset: 0.4032 eV/atom
crystal system: tetragonal

---

## KAl2Ru2 (GGA-PBE)

Data for KAl2Ru2 after structural relaxation.

Cell: 8.0230 8.0230 2.6840 Å, 90.00 90.00 90.00°
Last column: nearest neighbours and their distance in Å.
Space group P4/mbm (No. 127)
Symmetry-distinct sites (fractional):
K1 0.0000 0.0000 0.0000 (multiplicity 2)  2 K 2.68
Al1 0.1509 0.3491 0.0000 (multiplicity 4)  6 Ru 2.66-2.77, 2 Al 2.68
Ru1 0.1354 0.6354 0.5000 (multiplicity 4)  6 Al 2.66-2.77, 2 Ru 2.68

Results
E_form: 0.049 eV/atom
ρ: 5.67 Mg/m³
excess energy over the best structure of this formula in the dataset: 0.0000 eV/atom
crystal system: tetragonal

---

## K2AlRu (GGA-PBE)

Data for K2AlRu after structural relaxation.

Cell: 3.9452 3.9452 23.7057 Å, 90.00 90.00 90.00°
Last column: nearest neighbours and their distance in Å.
Space group I-42d (No. 122)
Symmetry-distinct sites (fractional):
K1 0.2476 0.2500 0.1250 (multiplicity 8)  4 K 2.78-2.80
Al1 0.0000 0.0000 0.5000 (multiplicity 4)  4 Ru 2.79
Ru1 0.0000 0.0000 0.0000 (multiplicity 4)  4 Al 2.79

Results
E_form: 0.909 eV/atom
ρ: 3.71 Mg/m³
crystal system: tetragonal

---

## K4AlRu (GGA-PBE)

Data for K4AlRu after structural relaxation.

Cell: 9.5792 9.5792 9.5792 Å, 90.00 90.00 90.00°
Last column: nearest neighbours and their distance in Å.
Space group F-43m (No. 216)
Symmetry-distinct sites (fractional):
K1 0.1249 0.1249 0.1249 (multiplicity 16)  6 K 3.38-3.39
Al1 0.0000 0.0000 0.5000 (multiplicity 4)  12 K 3.97, 4 Ru 4.15
Ru1 0.2500 0.2500 0.7500 (multiplicity 4)  12 K 3.97, 4 Al 4.15

Results
E_form: 1.153 eV/atom
ρ: 2.15 Mg/m³
crystal system: cubic